A plane-wave DFT calculation with PBE was carried out for a relaxed Lu2GePt crystal.

The structure in POSCAR format:
```
Lu2GePt
1.0
3.424 0.000 0.000
0.000 3.424 0.000
0.000 0.000 7.120
Lu Ge Pt
2 1 1
direct
0.000 0.000 0.239
0.000 0.000 0.761
0.500 0.500 0.500
0.500 0.500 0.000
```

Computed properties:
final energy = -0.21687 Ha/atom
energy of formation from the pure elements = -0.976 eV/atom
D(E_F) = 2.3 states/eV/cell
magnetic moment = 0.0000 μB/atom